# meta-GGA SCAN KIn2Pb, PBEsol geometry
# Energy (eV per atom): -37.7894
# M_tot (μB per cell): 0.0
# Calculated formation energy (meV per atom): -69
data_KIn2Pb
_cell_length_a 4.796
_cell_length_b 4.796
_cell_length_c 4.934
_cell_angle_alpha 90.00
_cell_angle_beta 90.00
_cell_angle_gamma 90.00
_space_group_name_H-M_alt 'P 4/m m m'
_space_group_IT_number 123
_space_group_name_Hall '-P 4 2'
loop_
_atom_site_label
_atom_site_type_symbol
_atom_site_fract_x
_atom_site_fract_y
_atom_site_fract_z
_atom_site_occupancy
K1 K 0.000 0.000 0.000 1
In1 In 0.000 0.500 0.500 1
Pb1 Pb 0.500 0.500 0.000 1